Computed, not measured: a relaxed CoMoHIr2 crystal at the GGA-PBE level of DFT.

Structure (CIF):
```
data_CoMoHIr2
_symmetry_space_group_name_H-M 'P 4/m m m'
_symmetry_Int_Tables_number 123
_symmetry_space_group_name_Hall '-P 4 2'
_cell_length_a 3.861
_cell_length_b 3.861
_cell_length_c 3.922
_cell_angle_alpha 90.00
_cell_angle_beta 90.00
_cell_angle_gamma 90.00
loop_
_atom_site_label
_atom_site_fract_x
_atom_site_fract_y
_atom_site_fract_z
Co1 0.000 0.000 0.000
Mo1 0.500 0.500 0.000
H1 0.500 0.500 0.500
Ir1 0.000 0.500 0.500
```

## Properties
For the magnetization, the calculation gives 0.809 μB/f.u. The energy above the most stable polymorph in this dataset comes out at 64 meV per atom.